! AlCrSi (SCAN, PBEsol geometry); values from VASP
&SYSTEM
  ibrav = 0, nat = 3, ntyp = 3
/
ATOMIC_SPECIES
Cr 52.00 Cr.upf
Si 28.09 Si.upf
Al 26.98 Al.upf
CELL_PARAMETERS angstrom
-2.4604 -0.9017 -0.3204
1.3264 -2.5892 -2.8984
-0.0780 -1.1842 3.9313
ATOMIC_POSITIONS crystal
Cr 0.5276 0.3333 0.6667
Si 0.4621 0.6667 0.3333
Al 0.0103 0.0000 0.0000
! volume: 12.852 Å³ per atom
! formation energy from raw total energies: 0.04 eV/atom
! symmetry: P3m1
! total magnetic moment: 0.00 μB/atom